Material: RbTeF
Method: DFT, PBE
State: relaxed

Symmetry ... Pm, No. 6
E ... -21.66 eV/cell

Cell: 5.916 4.007 8.902 Å, 90.00 102.22 90.00°
Fractional positions:
Rb  0.000  0.000  0.000
Rb  0.269  0.000  0.683
Te  0.587  0.000  0.279
Te  0.699  0.500  0.511
F  0.222  0.500  0.888
F  0.764  0.000  0.693

=====

Material: BaNbTl3
Method: DFT, PBE
State: relaxed

Symmetry ... Pm-3m, No. 221
E ... -18.90 eV/cell
N(E_F) ... 1.62 states/eV/cell
ΔH_f (0 K) ... 0.862 kcal/mol of atoms

Cell: 5.526 5.526 5.526 Å, 90.00 90.00 90.00°
Fractional positions:
Ba  0.000  0.000  0.000
Nb  0.500  0.500  0.500
Tl  0.000  0.500  0.500
Tl  0.500  0.000  0.500
Tl  0.500  0.500  0.000

=====

Material: NaAcH8Pt2
Method: DFT, PBE
State: relaxed

Symmetry ... R-3m, No. 166
E ... -46.53 eV/cell
N(E_F) ... 2.11 states/eV/cell

Cell: 7.767 7.767 7.767 Å, 35.57 35.57 35.57°
Fractional positions:
Na  0.000  0.000  0.000
Ac  0.500  0.500  0.500
H  0.032  0.453  0.453
H  0.172  0.172  0.172
H  0.453  0.032  0.453
H  0.453  0.453  0.032
H  0.547  0.547  0.968
H  0.547  0.968  0.547
H  0.828  0.828  0.828
H  0.968  0.547  0.547
Pt  0.249  0.249  0.249
Pt  0.751  0.751  0.751

=====

Material: Hf4MnTc2
Method: DFT, PBE
State: relaxed

Symmetry ... I4/mmm, No. 139
E ... -141.44 eV/cell
N(E_F) ... 16.60 states/eV/cell
ΔH_f (0 K) ... -3.317 kcal/mol of atoms

Cell: 6.389 6.389 6.507 Å, 90.00 90.00 90.00°
Fractional positions:
Hf  0.250  0.250  0.250
Hf  0.250  0.250  0.750
Hf  0.250  0.750  0.250
Hf  0.250  0.750  0.750
Hf  0.750  0.250  0.250
Hf  0.750  0.250  0.750
Hf  0.750  0.750  0.250
Hf  0.750  0.750  0.750
Mn  0.000  0.000  0.000
Mn  0.500  0.500  0.500
Tc  0.000  0.500  0.000
Tc  0.000  0.500  0.500
Tc  0.500  0.000  0.000
Tc  0.500  0.000  0.500

=====

Material: Sm2Ho3Bi3
Method: DFT, PBE
State: relaxed

Symmetry ... P6_3/mcm, No. 193
E ... -80.68 eV/cell
N(E_F) ... 14.83 states/eV/cell
ΔH_f (0 K) ... -15.925 kcal/mol of atoms

Cell: 9.268 9.268 6.398 Å, 90.00 90.00 120.00°
Fractional positions:
Sm  0.333  0.667  0.000
Sm  0.333  0.667  0.500
Sm  0.667  0.333  0.000
Sm  0.667  0.333  0.500
Ho  0.000  0.243  0.250
Ho  0.000  0.757  0.750
Ho  0.243  0.000  0.250
Ho  0.243  0.243  0.750
Ho  0.757  0.000  0.750
Ho  0.757  0.757  0.250
Bi  0.000  0.385  0.750
Bi  0.000  0.615  0.250
Bi  0.385  0.000  0.750
Bi  0.385  0.385  0.250
Bi  0.615  0.000  0.250
Bi  0.615  0.615  0.750

=====

Material: CeY2Pu
Method: DFT, PBE
State: relaxed

Symmetry ... P4/mmm, No. 123
E ... -32.58 eV/cell
N(E_F) ... 12.91 states/eV/cell
ΔH_f (0 K) ... 3.561 kcal/mol of atoms

Cell: 3.473 3.473 10.215 Å, 90.00 90.00 90.00°
Fractional positions:
Ce  0.000  0.000  0.000
Y  0.500  0.500  0.254
Y  0.500  0.500  0.746
Pu  0.000  0.000  0.500

=====

Material: Bi2OsPdO8
Method: DFT, PBE
State: relaxed

Symmetry ... P2/m, No. 10
E ... -74.19 eV/cell
N(E_F) ... 1.70 states/eV/cell

Cell: 5.028 6.655 5.030 Å, 90.00 90.00 90.00°
Fractional positions:
Bi  0.000  0.246  0.000
Bi  0.000  0.754  0.000
Os  0.500  0.500  0.500
Pd  0.500  0.000  0.500
O  0.221  0.000  0.810
O  0.277  0.500  0.788
O  0.309  0.263  0.349
O  0.309  0.737  0.349
O  0.691  0.263  0.651
O  0.691  0.737  0.651
O  0.723  0.500  0.212
O  0.779  0.000  0.190

=====

Material: La2AlCo
Method: DFT, PBE
State: relaxed

Symmetry ... Amm2, No. 38
E ... -42.88 eV/cell
N(E_F) ... 8.99 states/eV/cell
ΔH_f (0 K) ... -4.242 kcal/mol of atoms

Cell: 4.480 4.008 11.756 Å, 90.00 90.00 90.00°
Fractional positions:
La  0.000  0.000  0.000
La  0.000  0.500  0.500
La  0.500  0.000  0.274
La  0.500  0.500  0.774
Al  0.500  0.000  0.573
Al  0.500  0.500  0.073
Co  0.000  0.000  0.669
Co  0.000  0.500  0.169

=====

Material: LiBi2Te4Pb
Method: DFT, PBE
State: relaxed

Symmetry ... P2/m, No. 10
E ... -28.63 eV/cell
N(E_F) ... 3.17 states/eV/cell

Cell: 7.698 4.753 7.732 Å, 90.00 111.62 90.00°
Fractional positions:
Li  0.000  0.000  0.000
Bi  0.500  0.000  0.500
Bi  0.500  0.500  0.000
Te  0.250  0.500  0.244
Te  0.254  0.000  0.755
Te  0.746  0.000  0.245
Te  0.750  0.500  0.756
Pb  0.000  0.500  0.500

=====

Material: HfPaAu2O8
Method: DFT, PBE
State: relaxed

Symmetry ... I-4m2, No. 119
E ... -84.98 eV/cell
N(E_F) ... 7.61 states/eV/cell

Cell: 6.046 6.046 6.046 Å, 110.26 110.26 107.90°
Fractional positions:
Hf  0.000  0.000  0.000
Pa  0.750  0.250  0.500
Au  0.250  0.750  0.500
Au  0.500  0.500  0.000
O  0.023  0.336  0.313
O  0.023  0.709  0.687
O  0.084  0.259  0.825
O  0.291  0.977  0.313
O  0.434  0.259  0.175
O  0.664  0.977  0.687
O  0.741  0.566  0.825
O  0.741  0.916  0.175

=====

Material: BeMoBr2
Method: DFT, PBE
State: relaxed

Symmetry ... I-42d, No. 122
E ... -58.41 eV/cell
N(E_F) ... 7.29 states/eV/cell

Cell: 5.601 5.601 10.205 Å, 90.00 90.00 90.00°
Fractional positions:
Be  0.000  0.000  0.000
Be  0.000  0.500  0.250
Be  0.500  0.000  0.750
Be  0.500  0.500  0.500
Mo  0.000  0.000  0.500
Mo  0.000  0.500  0.750
Mo  0.500  0.000  0.250
Mo  0.500  0.500  0.000
Br  0.199  0.250  0.125
Br  0.250  0.699  0.375
Br  0.250  0.801  0.875
Br  0.301  0.250  0.625
Br  0.699  0.750  0.625
Br  0.750  0.199  0.875
Br  0.750  0.301  0.375
Br  0.801  0.750  0.125

=====

Material: Sc5Ge4H
Method: DFT, PBE
State: relaxed

Symmetry ... I4, No. 79
E ... -58.94 eV/cell
N(E_F) ... 6.44 states/eV/cell

Cell: 6.632 6.632 6.632 Å, 99.76 99.76 131.36°
Fractional positions:
Sc  0.000  0.000  0.000
Sc  0.160  0.355  0.609
Sc  0.355  0.747  0.195
Sc  0.551  0.160  0.805
Sc  0.747  0.551  0.391
Ge  0.050  0.653  0.800
Ge  0.251  0.050  0.397
Ge  0.653  0.854  0.603
Ge  0.854  0.251  0.200
H  0.403  0.403  0.000

=====

Material: La3Pm2Dy8
Method: DFT, PBE
State: relaxed

Symmetry ... C2/m, No. 12
E ... -57.84 eV/cell
N(E_F) ... 23.85 states/eV/cell
ΔH_f (0 K) ... 5.783 kcal/mol of atoms

Cell: 10.943 10.943 5.672 Å, 90.11 90.11 41.43°
Fractional positions:
La  0.000  0.000  0.000
La  0.299  0.701  0.500
La  0.701  0.299  0.500
Pm  0.241  0.241  0.997
Pm  0.759  0.759  0.003
Dy  0.135  0.135  0.499
Dy  0.183  0.600  0.999
Dy  0.330  0.330  0.498
Dy  0.400  0.817  0.001
Dy  0.600  0.183  0.999
Dy  0.670  0.670  0.502
Dy  0.817  0.400  0.001
Dy  0.865  0.865  0.501

=====

Material: CaSiRu
Method: DFT, PBE
State: relaxed

Symmetry ... F-43m, No. 216
E ... -66.09 eV/cell
N(E_F) ... 5.34 states/eV/cell

Cell: 6.190 6.190 6.190 Å, 90.00 90.00 90.00°
Fractional positions:
Ca  0.000  0.000  0.000
Ca  0.000  0.500  0.500
Ca  0.500  0.000  0.500
Ca  0.500  0.500  0.000
Si  0.000  0.000  0.500
Si  0.000  0.500  0.000
Si  0.500  0.000  0.000
Si  0.500  0.500  0.500
Ru  0.250  0.250  0.250
Ru  0.250  0.750  0.750
Ru  0.750  0.250  0.750
Ru  0.750  0.750  0.250

=====

Material: YbIn3
Method: DFT, PBE
State: relaxed

Symmetry ... Pm-3m, No. 221
E ... -11.24 eV/cell
N(E_F) ... 13.98 states/eV/cell
ΔH_f (0 K) ... -8.637 kcal/mol of atoms

Cell: 4.665 4.665 4.665 Å, 90.00 90.00 90.00°
Fractional positions:
Yb  0.000  0.000  0.000
In  0.000  0.500  0.500
In  0.500  0.000  0.500
In  0.500  0.500  0.000

=====

Material: Sr2ScIr
Method: DFT, PBE
State: relaxed

Symmetry ... P4/mmm, No. 123
E ... -17.66 eV/cell
N(E_F) ... 5.78 states/eV/cell
ΔH_f (0 K) ... 5.195 kcal/mol of atoms

Cell: 3.551 3.551 9.617 Å, 90.00 90.00 90.00°
Fractional positions:
Sr  0.000  0.000  0.187
Sr  0.000  0.000  0.813
Sc  0.500  0.500  0.500
Ir  0.500  0.500  0.000

=====

Material: BiTe2O
Method: DFT, PBE
State: relaxed

Symmetry ... I-42d, No. 122
E ... -60.30 eV/cell
N(E_F) ... 13.26 states/eV/cell

Cell: 5.922 5.922 13.440 Å, 90.00 90.00 90.00°
Fractional positions:
Bi  0.000  0.000  0.000
Bi  0.000  0.500  0.250
Bi  0.500  0.000  0.750
Bi  0.500  0.500  0.500
Te  0.104  0.250  0.625
Te  0.250  0.604  0.875
Te  0.250  0.896  0.375
Te  0.396  0.250  0.125
Te  0.604  0.750  0.125
Te  0.750  0.104  0.375
Te  0.750  0.396  0.875
Te  0.896  0.750  0.625
O  0.000  0.000  0.500
O  0.000  0.500  0.750
O  0.500  0.000  0.250
O  0.500  0.500  0.000

=====

Material: AcVP
Method: DFT, PBE
State: relaxed

Symmetry ... Cmcm, No. 63
E ... -76.52 eV/cell
N(E_F) ... 11.87 states/eV/cell
ΔH_f (0 K) ... -3.787 kcal/mol of atoms

Cell: 3.862 16.301 4.580 Å, 90.00 90.00 90.00°
Fractional positions:
Ac  0.000  0.093  0.250
Ac  0.000  0.907  0.750
Ac  0.500  0.407  0.750
Ac  0.500  0.593  0.250
V  0.000  0.278  0.250
V  0.000  0.722  0.750
V  0.500  0.222  0.750
V  0.500  0.778  0.250
P  0.000  0.419  0.250
P  0.000  0.581  0.750
P  0.500  0.081  0.750
P  0.500  0.919  0.250

=====

Material: NaP3Ru
Method: DFT, PBE
State: relaxed

Symmetry ... Pm-3m, No. 221
E ... -17.15 eV/cell
N(E_F) ... 6.93 states/eV/cell
ΔH_f (0 K) ... 44.642 kcal/mol of atoms

Cell: 4.652 4.652 4.652 Å, 90.00 90.00 90.00°
Fractional positions:
Na  0.000  0.000  0.000
P  0.000  0.000  0.500
P  0.000  0.500  0.000
P  0.500  0.000  0.000
Ru  0.500  0.500  0.500

=====

Material: MnCd2In2
Method: DFT, PBE
State: relaxed

Symmetry ... I4/mmm, No. 139
E ... -28.67 eV/cell
N(E_F) ... 4.76 states/eV/cell
ΔH_f (0 K) ... 9.882 kcal/mol of atoms

Cell: 4.246 4.246 13.907 Å, 90.00 90.00 90.00°
Fractional positions:
Mn  0.000  0.000  0.000
Mn  0.500  0.500  0.500
Cd  0.000  0.000  0.404
Cd  0.000  0.000  0.596
Cd  0.500  0.500  0.096
Cd  0.500  0.500  0.904
In  0.000  0.500  0.250
In  0.000  0.500  0.750
In  0.500  0.000  0.250
In  0.500  0.000  0.750

=====

| no. | ρ (Mg/m³) | magnetic moment (μB per atom) |
| --- | --- | --- |
| 1 | 3.736 | 0.000 |
| 2 | 8.298 | 0.000 |
| 3 | 7.594 | 0.000 |
| 4 | 12.065 | 0.175 |
| 5 | 9.926 | 0.053 |
| 6 | 7.573 | 1.324 |
| 7 | 8.313 | 0.000 |
| 8 | 5.722 | 0.000 |
| 9 | 7.213 | 0.000 |
| 10 | 9.095 | 0.000 |
| 11 | 5.493 | 0.000 |
| 12 | 4.298 | 0.000 |
| 13 | 7.413 | 0.000 |
| 14 | 4.738 | 0.000 |
| 15 | 8.466 | 0.039 |
| 16 | 5.648 | 0.247 |
| 17 | 6.767 | 0.000 |
| 18 | 7.116 | 0.000 |
| 19 | 3.579 | 0.327 |
| 20 | 6.748 | 0.930 |